1.
Here is an optimized crystal structure of SrAcPmCd from Alexandria. Energies are from GGA-PBE. Values from VASP.

Quantum ESPRESSO input file:
```
&SYSTEM
  ibrav = 0, nat = 4, ntyp = 4
/
ATOMIC_SPECIES
Sr 87.62 Sr.upf
Ac 227.00 Ac.upf
Cd 112.41 Cd.upf
Pm 145.00 Pm.upf
CELL_PARAMETERS angstrom
-0.017 0.049 5.919
3.940 -3.244 2.998
4.390 2.658 2.950
ATOMIC_POSITIONS angstrom
Sr 4.157 -0.269 5.934
Ac 2.078 -0.134 2.967
Cd 6.235 -0.403 8.901
Pm 0.000 0.000 0.000
```

* final energy: -2.758 eV/atom
* M_tot: 0.00 μB/cell

=====

2.
Here is an optimized crystal structure of Y5Pa3N8 from Alexandria. Energies are from GGA-PBE. Values from VASP.

Quantum ESPRESSO input file:
```
&SYSTEM
  ibrav = 0, nat = 16, ntyp = 3
/
ATOMIC_SPECIES
Y 88.91 Y.upf
Pa 231.04 Pa.upf
N 14.01 N.upf
CELL_PARAMETERS angstrom
-4.436 -5.333 -0.771
1.230 -4.894 -4.822
1.893 -6.423 1.950
ATOMIC_POSITIONS angstrom
Y -2.218 -2.667 -0.385
Y -1.603 -5.114 -2.797
Y 0.000 0.000 0.000
Y 0.615 -2.447 -2.411
Y -0.657 -8.325 -1.822
Pa -1.272 -5.878 0.590
Pa 0.946 -3.212 0.975
Pa 1.561 -5.658 -1.436
N 0.595 -7.291 0.041
N 1.227 -9.803 -2.434
N -1.682 -10.029 -0.354
N -1.013 -12.459 -2.769
N -1.909 -9.359 -3.685
N -2.540 -6.847 -1.209
N 0.369 -6.621 -3.289
N -0.300 -4.191 -0.875
```

* final energy: -9.641 eV/atom
* energy relative to the elements, uncorrected: -1677 meV per atom
* M_tot: 0.00 μB/cell

=====

3.
Here is an optimized crystal structure of VGeTeN2 from Alexandria. Energies are from GGA-PBE. Values from VASP.

Quantum ESPRESSO input file:
```
&SYSTEM
  ibrav = 0, nat = 5, ntyp = 4
/
ATOMIC_SPECIES
N 14.01 N.upf
Ge 72.64 Ge.upf
Te 127.60 Te.upf
V 50.94 V.upf
CELL_PARAMETERS angstrom
3.730 0.000 0.000
0.000 3.730 0.000
0.000 0.000 6.352
ATOMIC_POSITIONS angstrom
N 0.000 1.865 0.000
N 1.865 0.000 0.000
Ge 0.000 0.000 0.000
Te 0.000 0.000 3.176
V 1.865 1.865 3.176
```

* final energy: -5.302 eV/atom
* energy relative to the elements, uncorrected: 1404 meV per atom
* M_tot: 0.00 μB/cell

=====

4.
Here is an optimized crystal structure of ZnSnF6 from Alexandria. Energies are from GGA-PBE. Values from VASP.

Quantum ESPRESSO input file:
```
&SYSTEM
  ibrav = 0, nat = 16, ntyp = 3
/
ATOMIC_SPECIES
Zn 65.41 Zn.upf
Sn 118.71 Sn.upf
F 19.00 F.upf
CELL_PARAMETERS angstrom
5.166 0.000 0.000
-2.583 4.474 0.000
0.000 0.000 9.599
ATOMIC_POSITIONS angstrom
Zn 0.000 2.982 2.400
Zn 2.583 1.491 7.199
Sn 0.000 0.000 4.800
Sn 0.000 0.000 0.000
F 0.689 1.481 3.632
F 1.894 2.993 5.967
F -1.645 3.137 3.632
F -0.956 4.330 1.168
F 4.228 1.337 5.967
F 3.539 0.144 8.431
F 0.956 4.330 3.632
F -0.689 1.481 1.168
F 1.627 0.144 5.967
F 3.272 2.993 8.431
F 1.645 3.137 1.168
F 0.938 1.337 8.431
```

* final energy: -4.481 eV/atom
* energy relative to the elements, uncorrected: -2418 meV per atom
* M_tot: 0.00 μB/cell